Record 1
VASP calculation (PBE) on a relaxed LiMg8In6 crystal.

Values from the calculation:
D(E_F) (states/eV/f.u.): 6.0
Calculated volume (Å³ per cell): 377
VASP energy (eV/atom): -2.08
Symmetry: No. 148

Unit cell a=8.404 b=8.404 c=7.840 alpha=57.59 beta=57.59 gamma=60.00
Positions (direct):
Mg1 0.459 0.777 0.651
Mg2 0.669 0.669 0.994
Mg3 0.223 0.887 0.349
Mg4 0.541 0.223 0.349
Mg5 0.887 0.541 0.349
Mg6 0.331 0.331 0.006
Mg7 0.777 0.113 0.651
Mg8 0.113 0.459 0.651
In1 0.732 0.381 0.828
In2 0.381 0.059 0.828
In3 0.268 0.619 0.172
In4 0.059 0.732 0.828
In5 0.941 0.268 0.172
In6 0.619 0.941 0.172
Li1 0.000 0.000 0.000

---

Record 2
VASP calculation (PBE) on a relaxed Li2MgIn3 crystal.

Values from the calculation:
D(E_F) (states/eV/f.u.): 2.4
Calculated volume (Å³ per cell): 126
VASP energy (eV/atom): -2.48
Symmetry: No. 123

Unit cell a=3.247 b=3.247 c=11.947 alpha=90.00 beta=90.00 gamma=90.00
Positions (direct):
In1 0.000 0.000 0.000
In2 0.000 0.000 0.316
In3 0.000 0.000 0.684
Li1 0.500 0.500 0.843
Li2 0.500 0.500 0.157
Mg1 0.500 0.500 0.500

---

Record 3
VASP calculation (PBE) on a relaxed LiMgIn5 crystal.

Values from the calculation:
D(E_F) (states/eV/f.u.): 3.2
Calculated volume (Å³ per cell): 173
VASP energy (eV/atom): -2.52
Symmetry: No. 123

Unit cell a=4.562 b=4.562 c=8.316 alpha=90.00 beta=90.00 gamma=90.00
Positions (direct):
In1 0.000 0.500 0.287
In2 0.500 0.000 0.287
In3 0.500 0.000 0.713
In4 0.000 0.500 0.713
In5 0.500 0.500 0.000
Mg1 0.000 0.000 0.000
Li1 0.000 0.000 0.500

---

Record 4
VASP calculation (PBE) on a relaxed Li8Mg3In3 crystal.

Values from the calculation:
D(E_F) (states/eV/f.u.): 4.1
Calculated volume (Å³ per cell): 272
VASP energy (eV/atom): -2.11
Symmetry: No. 71

Unit cell a=4.701 b=7.992 c=8.591 alpha=117.72 beta=105.88 gamma=90.00
Positions (direct):
Li1 0.195 0.546 0.391
Li2 0.805 0.156 0.609
Li3 0.638 0.891 0.275
Li4 0.362 0.616 0.725
Li5 0.805 0.454 0.609
Li6 0.195 0.844 0.391
Li7 0.362 0.109 0.725
Li8 0.638 0.384 0.275
In1 0.500 0.500 0.000
In2 0.823 0.823 0.646
In3 0.177 0.177 0.354
Mg1 0.500 0.000 0.000
Mg2 0.000 0.745 0.000
Mg3 0.000 0.255 0.000

---

Record 5
VASP calculation (PBE) on a relaxed LiMgIn2 crystal.

Values from the calculation:
D(E_F) (states/eV/f.u.): 1.3
Calculated volume (Å³ per cell): 105
VASP energy (eV/atom): -2.14
Symmetry: No. 71

Unit cell a=6.720 b=6.720 c=6.720 alpha=56.51 beta=152.29 gamma=131.79
Positions (direct):
Li1 0.000 0.000 0.000
In1 0.000 0.758 0.758
In2 0.000 0.242 0.242
Mg1 0.000 0.500 0.500

---

Record 6
VASP calculation (PBE) on a relaxed LiMg6In crystal.

Values from the calculation:
D(E_F) (states/eV/f.u.): 3.3
Calculated volume (Å³ per cell): 179
VASP energy (eV/atom): -1.83
Symmetry: No. 38

Unit cell a=5.149 b=6.239 c=6.239 alpha=116.46 beta=90.00 gamma=90.00
Positions (direct):
Mg1 0.500 0.411 0.092
Mg2 0.000 0.585 0.903
Mg3 0.500 0.908 0.092
Mg4 0.000 0.097 0.415
Mg5 0.000 0.590 0.410
Mg6 0.500 0.908 0.589
Li1 0.500 0.412 0.588
In1 0.000 0.089 0.911